DFT (GGA-PBE) results for a relaxed structure of TbRuPb2O8.

Unit cell a=5.0011 b=6.7241 c=5.0244 alpha=90.00 beta=90.49 gamma=90.00
Last column: nearest neighbours and their distance in Å.
Fractional coordinates of all 12 atoms:
1 Tb 0.0000 0.0000 0.0000  6 O 2.22-2.30
2 Ru 0.0000 0.5000 0.0000  6 O 1.96-2.02
3 Pb 0.5000 0.2559 0.5000  6 O 2.18-2.25
4 Pb 0.5000 0.7441 0.5000  6 O 2.18-2.25
5 O 0.1886 0.2820 0.1806  1 Ru 1.96
6 O 0.1886 0.7180 0.1806  1 Ru 1.96
7 O 0.2799 0.5000 0.7111  1 Ru 2.02, 2 Pb 2.25
8 O 0.3071 0.0000 0.6842  2 Pb 2.18, 1 Tb 2.22
9 O 0.6929 0.0000 0.3158  2 Pb 2.18, 1 Tb 2.22
10 O 0.7201 0.5000 0.2889  1 Ru 2.02, 2 Pb 2.25
11 O 0.8114 0.2820 0.8194  1 Ru 1.96
12 O 0.8114 0.7180 0.8194  1 Ru 1.96

Calculated values
E in eV/atom: -6.4516
Density of states at the Fermi level in states/eV/atom: 0.27
Theoretical density in g/cm3: 7.9
Crystal system: monoclinic